This record from Alexandria via LeMat-Bulk describes crystalline ZrFeRe2 at its relaxed geometry. The functional is GGA-PBE.

```
4
Lattice="-0.331 8.404 -4.497 -0.618 6.755 -6.704 -2.837 7.468 -5.209" Properties=species:S:1:pos:R:3 pbc="T T T"
Re -1.852 11.073 -8.031
Re -0.040 0.240 -0.174
Fe -2.839 16.970 -12.308
Zr -0.946 5.657 -4.103
```

Values from the calculation:
DFT formation energy, eV/atom: 0.2654
Space-group type: No. 166
Total magnetic moment, μB/cell: 1.39